{
  "formula": "BaY2Ni2",
  "functional": "PBE-GGA",
  "state": "relaxed",
  "spacegroup": "P4/mbm",
  "relative_energy_mev_per_atom": 101,
  "energy_ev_per_atom": -5.27,
  "lattice": [[-3.038, -7.814, -1.305], [-0.466, -1.219, 8.384], [-3.098, 1.204, 0.003]],
  "species": ["Ni", "Ni", "Ni", "Ni", "Y", "Y", "Y", "Y", "Ba", "Ba"],
  "fractional_positions": [[0.853, 0.353, 0.500], [0.353, 0.147, 0.500], [0.147, 0.647, 0.500], [0.647, 0.853, 0.500], [0.865, 0.635, 0.000], [0.135, 0.365, 0.000], [0.365, 0.865, 0.000], [0.635, 0.135, 0.000], [0.000, 0.000, 0.000], [0.500, 0.500, 0.000]]
}